1.
VASP calculation (GGA+U) on an optimized crystal structure of NbVNF2.

```
NbVNF2
1.0
3.885 0.000 0.000
0.000 3.885 0.000
0.000 0.000 4.220
Nb V N F
1 1 1 2
Cartesian
0.000 0.000 0.000
1.942 1.942 2.110
1.942 1.942 0.000
0.000 1.942 2.110
1.942 0.000 2.110
```

The value obtained for the energy above the most stable polymorph in this dataset is 1.13 eV/f.u. As for the density of states at the Fermi level: 0.97 states/eV per atom. As for the size of the total moment: 5.0 μB per formula unit.


2.
VASP calculation (GGA+U) on an optimized crystal structure of NbWN2F.

```
NbWN2F
1.0
4.135 0.000 0.000
0.000 4.135 0.000
0.000 0.000 3.994
Nb W N F
1 1 2 1
Cartesian
0.000 0.000 0.000
2.068 2.068 1.997
0.000 2.068 0.000
2.068 0.000 0.000
0.000 0.000 1.997
```

The value obtained for the energy above the most stable polymorph in this dataset is 0.00 eV/f.u. As for the density of states at the Fermi level: 0.31 states/eV per atom. As for the size of the total moment: 3.6 μB per formula unit.


3.
VASP calculation (GGA+U) on an optimized crystal structure of NbWN2F.

```
NbWN2F
1.0
4.096 0.000 0.000
0.000 4.096 0.000
0.000 0.000 3.988
Nb W N F
1 1 2 1
Cartesian
0.000 0.000 0.000
2.048 2.048 1.994
0.000 2.048 1.994
2.048 0.000 1.994
2.048 2.048 0.000
```

The value obtained for the energy above the most stable polymorph in this dataset is 0.86 eV/f.u. As for the density of states at the Fermi level: 0.77 states/eV per atom. As for the size of the total moment: 4.0 μB per formula unit.